# Ba3Pu2InO9 | the Alexandria database | PBE | optimized geometry
# formation energy without anion corrections: -2703 meV/atom
# VASP energy: -8.156 eV/atom
# crystal system: trigonal
# total magnetic moment: 7.0 Bohr magnetons per cell
data_Ba3Pu2InO9
_space_group_name_H-M_alt 'P -3 m 1'
_space_group_IT_number 164
_space_group_name_Hall '-P 3 2"'
_cell_length_a 6.1384
_cell_length_b 6.1384
_cell_length_c 7.5503
_cell_angle_alpha 90.00
_cell_angle_beta 90.00
_cell_angle_gamma 120.00
loop_
_atom_site_label
_atom_site_fract_x
_atom_site_fract_y
_atom_site_fract_z
Ba1 0.0000 0.0000 0.0000
Ba2 0.3333 0.6667 0.6546
Pu1 0.3333 0.6667 0.1691
In1 0.0000 0.0000 0.5000
O1 0.0000 0.5000 0.0000
O2 0.1681 0.3362 0.3324